The following is a DFT calculation (PBE) of an optimized crystal structure of ReRhCl2.

For the density of states at the Fermi level, the calculation gives 0.78 states/eV per atom. As for the energy above the most stable polymorph in this dataset: 840 meV/atom. For the uncorrected formation energy, the calculation gives 810.3 meV/atom. The value obtained for the final energy is -20.25 eV/cell.

Unit cell a=2.8535 b=4.2354 c=5.3137 alpha=90.00 beta=90.00 gamma=90.00
Space group Pmmm (No. 47)
Symmetry-distinct sites (fractional):
Re 0.0000 0.0000 0.0000 x1
Rh 0.5000 0.0000 0.5000 x1
Cl 0.0000 0.5000 0.5000 x1
Cl 0.5000 0.5000 0.0000 x1

The following is a DFT calculation (PBE) of an optimized crystal structure of RbTl2Sb2.

For the density of states at the Fermi level, the calculation gives 0.53 states/eV per atom. As for the energy above the most stable polymorph in this dataset: 0 meV/atom. For the uncorrected formation energy, the calculation gives -182.0 meV/atom. The value obtained for the final energy is -29.71 eV/cell.

Unit cell a=5.3583 b=5.3583 c=13.1368 alpha=90.00 beta=90.00 gamma=90.00
Space group I4/mmm (No. 139)
Symmetry-distinct sites (fractional):
Rb 0.0000 0.0000 0.0000 x2
Tl 0.0000 0.5000 0.2500 x4
Sb 0.0000 0.0000 0.3898 x4

The following is a DFT calculation (PBE) of an optimized crystal structure of ScZn2Hg.

The value obtained for the formation energy is -0.127 eV/atom. For the density of states at the Fermi level, the calculation gives 0.60 states/eV per atom. The value obtained for the final energy is -9.69 eV/cell.

Unit cell a=3.2425 b=3.2425 c=7.1918 alpha=90.00 beta=90.00 gamma=90.00
Space group P4/mmm (No. 123)
Symmetry-distinct sites (fractional):
Sc 0.0000 0.0000 0.0000 x1
Zn 0.5000 0.5000 0.2509 x2
Hg 0.0000 0.0000 0.5000 x1

The following is a DFT calculation (PBE) of an optimized crystal structure of HfNbN2.

For the density of states at the Fermi level, the calculation gives 0.51 states/eV per atom. For the uncorrected formation energy, the calculation gives -1273.3 meV/atom. The value obtained for the final energy is -125.30 eV/cell.

Unit cell a=3.0791 b=3.0791 c=16.7702 alpha=90.00 beta=90.00 gamma=120.00
Space group R3m (No. 160, hexagonal axes)
Symmetry-distinct sites (fractional):
Hf 0.0000 0.0000 0.0000 x3
Nb 0.0000 0.0000 0.8283 x3
N 0.0000 0.0000 0.4148 x3
N 0.0000 0.0000 0.5820 x3

The following is a DFT calculation (PBE) of an optimized crystal structure of AcPaGa2.

The value obtained for the formation energy is -0.022 eV/atom. For the density of states at the Fermi level, the calculation gives 1.43 states/eV per atom. As for the energy above the most stable polymorph in this dataset: 188 meV/atom. The value obtained for the final energy is -59.24 eV/cell.

Unit cell a=3.6552 b=3.6552 c=28.4188 alpha=90.00 beta=90.00 gamma=120.00
Space group R-3m (No. 166, hexagonal axes)
Symmetry-distinct sites (fractional):
Ac 0.0000 0.0000 0.0000 x3
Pa 0.0000 0.0000 0.5000 x3
Ga 0.0000 0.0000 0.2446 x6

The following is a DFT calculation (PBE) of an optimized crystal structure of Hf2AlZnH.

For the density of states at the Fermi level, the calculation gives 0.62 states/eV per atom. As for the energy above the most stable polymorph in this dataset: 0 meV/atom. The value obtained for the final energy is -29.32 eV/cell.

Unit cell a=4.2729 b=4.2729 c=4.1442 alpha=90.00 beta=90.00 gamma=90.00
Space group P4/mmm (No. 123)
Symmetry-distinct sites (fractional):
Hf 0.0000 0.5000 0.0000 x2
Al 0.0000 0.0000 0.5000 x1
Zn 0.5000 0.5000 0.5000 x1
H 0.5000 0.5000 0.0000 x1

The following is a DFT calculation (PBE) of an optimized crystal structure of YMg2Ag2.

The value obtained for the formation energy is -0.152 eV/atom. For the density of states at the Fermi level, the calculation gives 0.74 states/eV per atom. As for the energy above the most stable polymorph in this dataset: 55 meV/atom. The value obtained for the final energy is -64.47 eV/cell.

Unit cell a=4.3005 b=4.3005 c=24.4472 alpha=90.00 beta=90.00 gamma=90.00
Space group I4/mmm (No. 139)
Symmetry-distinct sites (fractional):
Y 0.0000 0.0000 0.1232 x4
Mg 0.0000 0.0000 0.3176 x4
Mg 0.0000 0.5000 0.0000 x4
Ag 0.0000 0.0000 0.4258 x4
Ag 0.0000 0.5000 0.2500 x4

The following is a DFT calculation (PBE) of an optimized crystal structure of Cu2Ni2Ir.

The value obtained for the formation energy is 0.278 eV/atom. For the density of states at the Fermi level, the calculation gives 1.00 states/eV per atom. As for the energy above the most stable polymorph in this dataset: 183 meV/atom. The value obtained for the final energy is -54.46 eV/cell.

Unit cell a=6.7458 b=6.7458 c=2.6932 alpha=90.00 beta=90.00 gamma=90.00
Space group P4/mbm (No. 127)
Symmetry-distinct sites (fractional):
Cu 0.1715 0.3285 0.0000 x4
Ni 0.1259 0.6259 0.5000 x4
Ir 0.0000 0.0000 0.5000 x2

The following is a DFT calculation (PBE) of an optimized crystal structure of TbYPt.

The value obtained for the formation energy is -0.851 eV/atom. For the density of states at the Fermi level, the calculation gives 0.65 states/eV per atom. As for the energy above the most stable polymorph in this dataset: 88 meV/atom. The value obtained for the final energy is -78.75 eV/cell.

Unit cell a=6.8995 b=6.8995 c=6.8995 alpha=90.00 beta=90.00 gamma=90.00
Space group F-43m (No. 216)
Symmetry-distinct sites (fractional):
Tb 0.0000 0.0000 0.0000 x4
Y 0.0000 0.0000 0.5000 x4
Pt 0.2500 0.2500 0.7500 x4

The following is a DFT calculation (PBE) of an optimized crystal structure of Mg5Tl3.

The value obtained for the formation energy is -0.029 eV/atom. For the density of states at the Fermi level, the calculation gives 0.44 states/eV per atom. As for the energy above the most stable polymorph in this dataset: 0 meV/atom. The value obtained for the final energy is -30.60 eV/cell.

Unit cell a=8.7913 b=9.2541 c=4.7292 alpha=90.00 beta=90.00 gamma=90.00
Space group Cmmm (No. 65)
Symmetry-distinct sites (fractional):
Mg 0.0000 0.0000 0.0000 x2
Mg 0.2284 0.5000 0.5000 x4
Mg 0.2500 0.2500 0.0000 x4
Tl 0.0000 0.2194 0.5000 x4
Tl 0.0000 0.5000 0.0000 x2

The following is a DFT calculation (PBE) of an optimized crystal structure of CePmSc2.

The value obtained for the formation energy is 0.071 eV/atom. For the density of states at the Fermi level, the calculation gives 1.73 states/eV per atom. As for the energy above the most stable polymorph in this dataset: 0 meV/atom. The value obtained for the final energy is -23.06 eV/cell.

Unit cell a=3.4688 b=3.4688 c=9.2773 alpha=90.00 beta=90.00 gamma=90.00
Space group P4/mmm (No. 123)
Symmetry-distinct sites (fractional):
Ce 0.0000 0.0000 0.0000 x1
Pm 0.0000 0.0000 0.5000 x1
Sc 0.5000 0.5000 0.2406 x2

The following is a DFT calculation (PBE) of an optimized crystal structure of AgSbPt2.

For the density of states at the Fermi level, the calculation gives 0.44 states/eV per atom. For the uncorrected formation energy, the calculation gives -67.6 meV/atom. The value obtained for the final energy is -19.33 eV/cell.

Unit cell a=3.3414 b=3.9075 c=5.6104 alpha=90.00 beta=90.00 gamma=90.00
Space group Pmm2 (No. 25)
Symmetry-distinct sites (fractional):
Ag 0.0000 0.0000 0.0000 x1
Sb 0.5000 0.5000 0.6881 x1
Pt 0.0000 0.0000 0.4900 x1
Pt 0.5000 0.5000 0.2080 x1

The following is a DFT calculation (PBE) of an optimized crystal structure of Bi2Rh3.

The value obtained for the formation energy is -0.046 eV/atom. For the density of states at the Fermi level, the calculation gives 0.92 states/eV per atom. The value obtained for the final energy is -120.19 eV/cell.

Unit cell a=6.4485 b=11.3299 c=5.3907 alpha=90.00 beta=90.00 gamma=90.00
Space group Ibam (No. 72)
Symmetry-distinct sites (fractional):
Bi 0.2478 0.1621 0.0000 x8
Rh 0.0000 0.0000 0.2500 x4
Rh 0.1501 0.4086 0.0000 x8

The following is a DFT calculation (PBE) of an optimized crystal structure of Mn2In2CuPd3.

The value obtained for the formation energy is -0.272 eV/atom. For the density of states at the Fermi level, the calculation gives 0.30 states/eV per atom. The value obtained for the final energy is -137.01 eV/cell.

Unit cell a=4.5070 b=4.5070 c=22.1242 alpha=90.00 beta=90.00 gamma=120.00
Space group R3m (No. 160, hexagonal axes)
Symmetry-distinct sites (fractional):
Mn 0.0000 0.0000 0.0000 x3
Mn 0.0000 0.0000 0.4977 x3
In 0.0000 0.0000 0.2472 x3
In 0.0000 0.0000 0.7505 x3
Cu 0.0000 0.0000 0.1229 x3
Pd 0.0000 0.0000 0.3735 x3
Pd 0.0000 0.0000 0.6243 x3
Pd 0.0000 0.0000 0.8745 x3

The following is a DFT calculation (PBE) of an optimized crystal structure of CaSi2Sb.

For the density of states at the Fermi level, the calculation gives 0.28 states/eV per atom. For the uncorrected formation energy, the calculation gives -109.9 meV/atom. The value obtained for the final energy is -34.82 eV/cell.

Unit cell a=10.1239 b=3.6694 c=5.6068 alpha=90.00 beta=113.65 gamma=90.00
Space group C2/m (No. 12)
Symmetry-distinct sites (fractional):
Ca 0.0000 0.0000 0.0000 x2
Si 0.2477 0.0000 0.6461 x4
Sb 0.0000 0.5000 0.5000 x2

The following is a DFT calculation (PBE) of an optimized crystal structure of MgInSi2.

For the density of states at the Fermi level, the calculation gives 0.33 states/eV per atom. As for the energy above the most stable polymorph in this dataset: 0 meV/atom. For the uncorrected formation energy, the calculation gives 181.6 meV/atom. The value obtained for the final energy is -28.91 eV/cell.

Unit cell a=3.6089 b=4.1702 c=11.0417 alpha=90.00 beta=90.00 gamma=90.00
Space group Imm2 (No. 44)
Symmetry-distinct sites (fractional):
Mg 0.0000 0.0000 0.0000 x2
In 0.0000 0.5000 0.7908 x2
Si 0.0000 0.0000 0.5403 x2
Si 0.0000 0.5000 0.1880 x2

The following is a DFT calculation (PBE) of an optimized crystal structure of KTb2AgSe4.

For the uncorrected formation energy, the calculation gives -1479.4 meV/atom. The value obtained for the final energy is -155.93 eV/cell.

Unit cell a=4.2069 b=14.0894 c=14.8376 alpha=90.00 beta=90.00 gamma=90.00
Space group Cmcm (No. 63)
Symmetry-distinct sites (fractional):
K 0.0000 0.1212 0.2500 x4
Tb 0.0000 0.3685 0.0677 x8
Ag 0.0000 0.1606 0.7500 x4
Se 0.0000 0.0000 0.0000 x4
Se 0.0000 0.2662 0.6036 x8
Se 0.0000 0.4492 0.2500 x4

The following is a DFT calculation (PBE) of an optimized crystal structure of SmDyHg.

The value obtained for the formation energy is -0.348 eV/atom. For the density of states at the Fermi level, the calculation gives 0.51 states/eV per atom. As for the energy above the most stable polymorph in this dataset: 0 meV/atom. The value obtained for the final energy is -42.67 eV/cell.

Unit cell a=7.2425 b=5.1237 c=9.3166 alpha=90.00 beta=90.00 gamma=90.00
Space group Pnma (No. 62)
Symmetry-distinct sites (fractional):
Sm 0.0151 0.2500 0.1913 x4
Dy 0.1654 0.2500 0.5748 x4
Hg 0.2442 0.2500 0.8972 x4

The following is a DFT calculation (PBE) of an optimized crystal structure of YMo2Se.

For the density of states at the Fermi level, the calculation gives 1.04 states/eV per atom. For the uncorrected formation energy, the calculation gives 159.1 meV/atom. The value obtained for the final energy is -123.90 eV/cell.

Unit cell a=3.8982 b=3.8982 c=21.3557 alpha=90.00 beta=90.00 gamma=90.00
Space group I-42d (No. 122)
Symmetry-distinct sites (fractional):
Y 0.0000 0.0000 0.0000 x4
Mo 0.2056 0.2500 0.6250 x8
Se 0.0000 0.0000 0.5000 x4

The following is a DFT calculation (PBE) of an optimized crystal structure of Cs3SmHo2Te6.

For the uncorrected formation energy, the calculation gives -1386.8 meV/atom. The value obtained for the final energy is -103.85 eV/cell.

Unit cell a=7.9149 b=13.7085 c=9.3053 alpha=90.00 beta=106.48 gamma=90.00
Space group C2/m (No. 12)
Symmetry-distinct sites (fractional):
Cs 0.0000 0.0000 0.0000 x2
Cs 0.0000 0.3349 0.0000 x4
Sm 0.0000 0.5000 0.5000 x2
Ho 0.0000 0.1668 0.5000 x4
Te 0.2243 0.0000 0.6898 x4
Te 0.2330 0.3305 0.6904 x8

The following is a DFT calculation (PBE) of an optimized crystal structure of B3PC.

The value obtained for the formation energy is 2.486 eV/atom. For the density of states at the Fermi level, the calculation gives 0.43 states/eV per atom. As for the energy above the most stable polymorph in this dataset: 2239 meV/atom. The value obtained for the final energy is -22.23 eV/cell.

Unit cell a=3.7854 b=3.7854 c=3.7854 alpha=90.00 beta=90.00 gamma=90.00
Space group Pm-3m (No. 221)
Symmetry-distinct sites (fractional):
B 0.0000 0.0000 0.5000 x3
P 0.0000 0.0000 0.0000 x1
C 0.5000 0.5000 0.5000 x1